Here is a relaxed LiAlCdIn2 crystal from Alexandria via LeMat-Bulk. Energies are from PBE-GGA.

## Properties
Symmetry ... P4/mmm (123)
ΔE_f ... 0.279 eV per atom

a b c (Å): 5.2934 5.1299 5.2934
angles (deg): 90.00 90.00 90.00
Fractional positions:
1 Cd 0.5000 0.5000 0.5000
2 Li 0.0000 0.5000 0.0000
3 Al 0.0000 0.0000 0.0000
4 In 0.0000 0.0000 0.5000
5 In 0.5000 0.0000 0.0000

---

Here is a relaxed MgAl2CdIn crystal from Alexandria via LeMat-Bulk. Energies are from PBE-GGA.

## Properties
Symmetry ... P4/mmm (123)
ΔE_f ... 0.514 eV per atom

a b c (Å): 5.0869 5.2673 5.0869
angles (deg): 90.00 90.00 90.00
Fractional positions:
1 Mg 0.0000 0.5000 0.0000
2 Cd 0.0000 0.0000 0.0000
3 Al 0.0000 0.0000 0.5000
4 Al 0.5000 0.0000 0.0000
5 In 0.5000 0.5000 0.5000

---

Here is a relaxed Al2CdIn2Pd5 crystal from Alexandria via LeMat-Bulk. Energies are from PBE-GGA.

## Properties
Symmetry ... P4/mbm (127)
ΔE_f ... -0.485 eV per atom

a b c (Å): 3.6129 9.8122 9.8122
angles (deg): 90.00 90.00 90.00
Fractional positions:
1 Al 0.0000 0.1286 0.6286
2 Al 0.0000 0.8714 0.3714
3 Al 0.0000 0.6286 0.8714
4 Al 0.0000 0.3714 0.1286
5 Cd 0.0000 0.0000 0.0000
6 Cd 0.0000 0.5000 0.5000
7 In 0.0000 0.6690 0.1690
8 In 0.0000 0.3310 0.8310
9 In 0.0000 0.1690 0.3310
10 In 0.0000 0.8310 0.6690
11 Pd 0.5000 0.1974 0.0931
12 Pd 0.5000 0.8026 0.9069
13 Pd 0.5000 0.0931 0.8026
14 Pd 0.5000 0.6974 0.4069
15 Pd 0.5000 0.9069 0.1974
16 Pd 0.5000 0.3026 0.5931
17 Pd 0.5000 0.5931 0.6974
18 Pd 0.5000 0.4069 0.3026
19 Pd 0.5000 0.5000 0.0000
20 Pd 0.5000 0.0000 0.5000

---

Here is a relaxed Al2Cd2InPd5 crystal from Alexandria via LeMat-Bulk. Energies are from PBE-GGA.

## Properties
Symmetry ... P4/mbm (127)
ΔE_f ... -0.518 eV per atom

a b c (Å): 3.6867 9.6511 9.6511
angles (deg): 90.00 90.00 90.00
Fractional positions:
1 Al 0.0000 0.1257 0.6257
2 Al 0.0000 0.8743 0.3743
3 Al 0.0000 0.6257 0.8743
4 Al 0.0000 0.3743 0.1257
5 Cd 0.0000 0.6717 0.1717
6 Cd 0.0000 0.3283 0.8283
7 Cd 0.0000 0.1717 0.3283
8 Cd 0.0000 0.8283 0.6717
9 In 0.0000 0.0000 0.0000
10 In 0.0000 0.5000 0.5000
11 Pd 0.5000 0.2027 0.0801
12 Pd 0.5000 0.7973 0.9199
13 Pd 0.5000 0.0801 0.7973
14 Pd 0.5000 0.7027 0.4199
15 Pd 0.5000 0.9199 0.2027
16 Pd 0.5000 0.2973 0.5801
17 Pd 0.5000 0.5801 0.7027
18 Pd 0.5000 0.4199 0.2973
19 Pd 0.5000 0.5000 0.0000
20 Pd 0.5000 0.0000 0.5000

---

Here is a relaxed Al2Cd2InPt5 crystal from Alexandria via LeMat-Bulk. Energies are from PBE-GGA.

## Properties
Symmetry ... P4/mbm (127)
ΔE_f ... -0.542 eV per atom

a b c (Å): 3.8570 9.4377 9.4377
angles (deg): 90.00 90.00 90.00
Fractional positions:
1 Al 0.0000 0.1247 0.6247
2 Al 0.0000 0.8753 0.3753
3 Al 0.0000 0.6247 0.8753
4 Al 0.0000 0.3753 0.1247
5 Cd 0.0000 0.6728 0.1728
6 Cd 0.0000 0.3272 0.8272
7 Cd 0.0000 0.1728 0.3272
8 Cd 0.0000 0.8272 0.6728
9 In 0.0000 0.0000 0.0000
10 In 0.0000 0.5000 0.5000
11 Pt 0.5000 0.2040 0.0769
12 Pt 0.5000 0.7960 0.9231
13 Pt 0.5000 0.0769 0.7960
14 Pt 0.5000 0.7040 0.4231
15 Pt 0.5000 0.9231 0.2040
16 Pt 0.5000 0.2960 0.5769
17 Pt 0.5000 0.5769 0.7040
18 Pt 0.5000 0.4231 0.2960
19 Pt 0.5000 0.5000 0.0000
20 Pt 0.5000 0.0000 0.5000

---

Here is a relaxed Al2CdIn2Pt5 crystal from Alexandria via LeMat-Bulk. Energies are from PBE-GGA.

## Properties
Symmetry ... P4/mbm (127)
ΔE_f ... -0.480 eV per atom

a b c (Å): 3.8390 9.5113 9.5113
angles (deg): 90.00 90.00 90.00
Fractional positions:
1 Al 0.0000 0.1259 0.6259
2 Al 0.0000 0.8741 0.3741
3 Al 0.0000 0.6259 0.8741
4 Al 0.0000 0.3741 0.1259
5 Cd 0.0000 0.0000 0.0000
6 Cd 0.0000 0.5000 0.5000
7 In 0.0000 0.6727 0.1727
8 In 0.0000 0.3273 0.8273
9 In 0.0000 0.1727 0.3273
10 In 0.0000 0.8273 0.6727
11 Pt 0.5000 0.2018 0.0838
12 Pt 0.5000 0.7982 0.9162
13 Pt 0.5000 0.0838 0.7982
14 Pt 0.5000 0.7018 0.4162
15 Pt 0.5000 0.9162 0.2018
16 Pt 0.5000 0.2982 0.5838
17 Pt 0.5000 0.5838 0.7018
18 Pt 0.5000 0.4162 0.2982
19 Pt 0.5000 0.5000 0.0000
20 Pt 0.5000 0.0000 0.5000

---

Here is a relaxed PuAlCdIn crystal from Alexandria via LeMat-Bulk. Energies are from PBE-GGA.

## Properties
Symmetry ... F-43m (216)
ΔE_f ... -0.021 eV per atom

a b c (Å): 5.0821 5.0821 5.0821
angles (deg): 60.00 60.00 60.00
Each line ends with the local moment (μB).
Fractional positions:
1 Cd 0.0000 0.0000 0.0000  0.03
2 In 0.7500 0.7500 0.7500  -0.01
3 Al 0.5000 0.5000 0.5000  0.02
4 Pu 0.2500 0.2500 0.2500  5.51

---

Here is a relaxed AlCdInRh2 crystal from Alexandria via LeMat-Bulk. Energies are from PBE-GGA.

## Properties
Symmetry ... P4/mmm (123)
ΔE_f ... 0.298 eV per atom

a b c (Å): 4.5458 4.8443 4.5458
angles (deg): 90.00 90.00 90.00
Fractional positions:
1 Cd 0.0000 0.5000 0.0000
2 Rh 0.0000 0.0000 0.5000
3 Rh 0.5000 0.0000 0.0000
4 Al 0.0000 0.0000 0.0000
5 In 0.5000 0.5000 0.5000

---

Here is a relaxed AlCdInS4 crystal from Alexandria via LeMat-Bulk. Energies are from PBE-GGA.

## Properties
Energy above the lowest structure with this stoichiometry ... 0 meV per atom
ΔE_f (raw) ... -5.3 eV per formula unit
Symmetry ... Imma (74)

a b c (Å): 7.4671 7.5690 7.5690
angles (deg): 60.34 60.44 60.44
Fractional positions:
1 Al 0.5000 0.0000 0.5000
2 Al 0.0000 0.0000 0.5000
3 Cd 0.6273 0.6227 0.1227
4 Cd 0.3727 0.3773 0.8773
5 In 0.0000 0.0000 0.0000
6 In 0.0000 0.5000 0.5000
7 S 0.7540 0.7805 0.7114
8 S 0.2460 0.7886 0.7195
9 S 0.7540 0.2114 0.2805
10 S 0.2460 0.2195 0.2886
11 S 0.2144 0.7728 0.2728
12 S 0.7400 0.7728 0.2728
13 S 0.2600 0.2272 0.7272
14 S 0.7856 0.2272 0.7272

---

Here is a relaxed AlCdIn2S6 crystal from Alexandria via LeMat-Bulk. Energies are from PBE-GGA.

## Properties
ΔE_f (raw) ... -5.2 eV per formula unit
Symmetry ... C2/c (15)

a b c (Å): 6.8411 9.4387 9.4387
angles (deg): 91.51 71.22 71.22
Each line ends with the local moment (μB).
Fractional positions:
1 Al 0.2500 0.1665 0.8335  0.00
2 Al 0.7500 0.8335 0.1665  0.00
3 Cd 0.2500 0.8286 0.1714  0.00
4 Cd 0.7500 0.1714 0.8286  0.00
5 In 0.3397 0.7727 0.5930  0.00
6 In 0.1603 0.4070 0.2273  0.00
7 In 0.6603 0.2273 0.4070  0.00
8 In 0.8397 0.5930 0.7727  0.00
9 S 0.1257 0.9703 0.8185  0.01
10 S 0.3743 0.1815 0.0297  0.01
11 S 0.8743 0.0297 0.1815  0.01
12 S 0.6257 0.8185 0.9703  0.01
13 S 0.4216 0.8942 0.3603  0.00
14 S 0.0784 0.6397 0.1058  0.00
15 S 0.5784 0.1058 0.6397  0.00
16 S 0.9216 0.3603 0.8942  0.00
17 S 0.0666 0.6688 0.5457  0.29
18 S 0.4334 0.4543 0.3312  0.29
19 S 0.9334 0.3312 0.4543  0.29
20 S 0.5666 0.5457 0.6688  0.29

---

Here is a relaxed AlCdInS4 crystal from Alexandria via LeMat-Bulk. Energies are from PBE-GGA.

## Properties
Energy above the lowest structure with this stoichiometry ... 70 meV per atom
ΔE_f (raw) ... -4.8 eV per formula unit
Symmetry ... R3m (160)

a b c (Å): 13.2983 13.2983 13.2983
angles (deg): 16.82 16.82 16.82
Fractional positions:
1 Al 0.5938 0.5938 0.5938
2 Cd 0.8349 0.8349 0.8349
3 In 0.0707 0.0707 0.0707
4 S 0.5385 0.5385 0.5385
5 S 0.7076 0.7076 0.7076
6 S 0.9496 0.9496 0.9496
7 S 0.1316 0.1316 0.1316

---

Here is a relaxed ScAlCdIn crystal from Alexandria via LeMat-Bulk. Energies are from PBE-GGA.

## Properties
Symmetry ... Pmmm (47)
ΔE_f ... -0.296 eV per atom

a b c (Å): 4.3136 4.3836 4.3584
angles (deg): 90.00 90.00 90.00
Fractional positions:
1 Sc 0.0000 0.5000 0.5000
2 Al 0.5000 0.5000 0.0000
3 Cd 0.0000 0.0000 0.0000
4 In 0.5000 0.0000 0.5000

---

Here is a relaxed Sm4AlCd2In crystal from Alexandria via LeMat-Bulk. Energies are from PBE-GGA.

## Properties
Symmetry ... R-3m (166)
ΔE_f ... -0.382 eV per atom

a b c (Å): 5.3589 5.3589 9.2870
angles (deg): 73.23 73.23 60.00
Fractional positions:
1 Sm 0.3777 0.3777 0.8669
2 Sm 0.8723 0.8723 0.3830
3 Sm 0.1277 0.1277 0.6170
4 Sm 0.6223 0.6223 0.1331
5 Al 0.5000 0.5000 0.5000
6 Cd 0.7493 0.7493 0.7522
7 Cd 0.2507 0.2507 0.2478
8 In 0.0000 0.0000 0.0000

---

Here is a relaxed SrAlCdIn crystal from Alexandria via LeMat-Bulk. Energies are from PBE-GGA.

## Properties
Symmetry ... F-43m (216)
ΔE_f ... -0.131 eV per atom

a b c (Å): 5.2809 5.2809 5.2809
angles (deg): 60.00 60.00 60.00
Fractional positions:
1 Sr 0.0000 0.0000 0.0000
2 Cd 0.2500 0.2500 0.2500
3 Al 0.5000 0.5000 0.5000
4 In 0.7500 0.7500 0.7500

---

Here is a relaxed Sr2Al3CdIn4 crystal from Alexandria via LeMat-Bulk. Energies are from PBE-GGA.

## Properties
Symmetry ... P-4m2 (115)
ΔE_f ... -0.234 eV per atom

a b c (Å): 4.7069 4.7069 11.8743
angles (deg): 90.00 90.00 90.00
Fractional positions:
1 Sr 0.5000 0.0000 0.2492
2 Sr 0.0000 0.5000 0.7508
3 Al 0.0000 0.0000 0.5000
4 Al 0.5000 0.0000 0.8651
5 Al 0.0000 0.5000 0.1349
6 Cd 0.5000 0.5000 0.5000
7 In 0.5000 0.5000 0.0000
8 In 0.0000 0.0000 0.0000
9 In 0.5000 0.0000 0.6393
10 In 0.0000 0.5000 0.3607

---

Here is a relaxed Sr2AlCd3In4 crystal from Alexandria via LeMat-Bulk. Energies are from PBE-GGA.

## Properties
Symmetry ... P-4m2 (115)
ΔE_f ... -0.257 eV per atom

a b c (Å): 4.6126 4.6126 12.8385
angles (deg): 90.00 90.00 90.00
Fractional positions:
1 Sr 0.5000 0.0000 0.2554
2 Sr 0.0000 0.5000 0.7446
3 Al 0.5000 0.5000 0.5000
4 Cd 0.0000 0.0000 0.5000
5 Cd 0.5000 0.0000 0.8537
6 Cd 0.0000 0.5000 0.1463
7 In 0.5000 0.5000 0.0000
8 In 0.0000 0.0000 0.0000
9 In 0.5000 0.0000 0.6348
10 In 0.0000 0.5000 0.3652

---

Here is a relaxed Tb4Al2CdIn crystal from Alexandria via LeMat-Bulk. Energies are from PBE-GGA.

## Properties
Symmetry ... R-3m (166)
ΔE_f ... -0.389 eV per atom

a b c (Å): 5.2294 5.2294 9.0499
angles (deg): 73.21 73.21 60.00
Fractional positions:
1 Tb 0.3755 0.3755 0.8734
2 Tb 0.8745 0.8745 0.3765
3 Tb 0.1255 0.1255 0.6235
4 Tb 0.6245 0.6245 0.1266
5 Al 0.7514 0.7514 0.7457
6 Al 0.2486 0.2486 0.2543
7 Cd 0.5000 0.5000 0.5000
8 In 0.0000 0.0000 0.0000

---

Here is a relaxed Tb4AlCd2In crystal from Alexandria via LeMat-Bulk. Energies are from PBE-GGA.

## Properties
Symmetry ... R-3m (166)
ΔE_f ... -0.387 eV per atom

a b c (Å): 5.2697 5.2697 9.1378
angles (deg): 73.24 73.24 60.00
Fractional positions:
1 Tb 0.3777 0.3777 0.8670
2 Tb 0.8724 0.8724 0.3827
3 Tb 0.1276 0.1276 0.6173
4 Tb 0.6223 0.6223 0.1330
5 Al 0.5000 0.5000 0.5000
6 Cd 0.7495 0.7495 0.7514
7 Cd 0.2505 0.2505 0.2486
8 In 0.0000 0.0000 0.0000

---

Here is a relaxed Y4Al2CdIn crystal from Alexandria via LeMat-Bulk. Energies are from PBE-GGA.

## Properties
Symmetry ... R-3m (166)
ΔE_f ... -0.416 eV per atom

a b c (Å): 5.2157 5.2157 9.0289
angles (deg): 73.21 73.21 60.00
Fractional positions:
1 Y 0.3754 0.3754 0.8737
2 Y 0.8746 0.8746 0.3762
3 Y 0.1254 0.1254 0.6238
4 Y 0.6246 0.6246 0.1263
5 Al 0.7516 0.7516 0.7451
6 Al 0.2484 0.2484 0.2549
7 Cd 0.5000 0.5000 0.5000
8 In 0.0000 0.0000 0.0000

---

Here is a relaxed AlCdIr crystal from Alexandria via LeMat-Bulk. Energies are from PBE-GGA.

## Properties
Symmetry ... P3m1 (156)
ΔE_f ... -0.124 eV per atom

a b c (Å): 2.9258 2.9258 6.8377
angles (deg): 90.00 90.00 120.00
Fractional positions:
1 Ir 0.3333 0.6667 0.6936
2 Al 0.0000 0.0000 0.9672
3 Cd 0.6667 0.3333 0.3392